# 1
The following is a DFT calculation (PBE) of a relaxed RbUAg crystal.

Cell lengths 5.414, 5.414, 5.414 Å; angles 60.00, 60.00, 60.00 degrees
Last column: magnetic moment on the atom in μB.
Sites, in units of the cell vectors:
U1 0.750 0.750 0.750  3.23
Rb1 0.250 0.250 0.250  0.03
Ag1 0.000 0.000 0.000  0.01

Calculated values
Total DFT energy (no corrections)   -11.2 eV per formula unit
V   112.20 Å³/f.u.
Space-group type   F-43m
Total magnetic moment   1.329 μB per atom

=====

# 2
The following is a DFT calculation (PBE) of a relaxed RbYAg crystal.

Cell lengths 5.322, 5.322, 5.322 Å; angles 60.00, 60.00, 60.00 degrees
Last column: magnetic moment on the atom in μB.
Sites, in units of the cell vectors:
Ag1 0.000 0.000 0.000  0.00
Rb1 0.500 0.500 0.500  0.01
Y1 0.750 0.750 0.750  0.10

Calculated values
Total DFT energy (no corrections)   -7.9 eV per formula unit
V   106.59 Å³/f.u.
Space-group type   F-43m
Total magnetic moment   0.098 μB per atom

=====

# 3
The following is a DFT calculation (PBE) of a relaxed RbYAg crystal.

Cell lengths 5.281, 5.281, 5.281 Å; angles 60.00, 60.00, 60.00 degrees
Sites, in units of the cell vectors:
Y1 0.750 0.750 0.750
Ag1 0.250 0.250 0.250
Rb1 0.000 0.000 0.000

Calculated values
Total DFT energy (no corrections)   -7.0 eV per formula unit
V   104.14 Å³/f.u.
Space-group type   F-43m
Total magnetic moment   0.275 μB per atom

=====

# 4
The following is a DFT calculation (PBE) of a relaxed RbZnAg crystal.

Cell lengths 5.721, 5.721, 5.721 Å; angles 60.00, 60.00, 60.00 degrees
Sites, in units of the cell vectors:
Zn1 0.750 0.750 0.750
Ag1 0.250 0.250 0.250
Rb1 0.000 0.000 0.000

Calculated values
Total DFT energy (no corrections)   -3.7 eV per formula unit
V   132.43 Å³/f.u.
Space-group type   F-43m

=====

# 5
The following is a DFT calculation (PBE) of a relaxed RbZnAg crystal.

Cell lengths 5.322, 5.322, 5.322 Å; angles 60.00, 60.00, 60.00 degrees
Sites, in units of the cell vectors:
Ag1 0.000 0.000 0.000
Zn1 0.750 0.750 0.750
Rb1 0.250 0.250 0.250

Calculated values
Total DFT energy (no corrections)   -4.2 eV per formula unit
V   106.57 Å³/f.u.
Space-group type   F-43m

=====

# 6
The following is a DFT calculation (PBE) of a relaxed RbZrAg crystal.

Cell lengths 5.225, 5.225, 5.225 Å; angles 60.00, 60.00, 60.00 degrees
Sites, in units of the cell vectors:
Ag1 0.000 0.000 0.000
Rb1 0.250 0.250 0.250
Zr1 0.750 0.750 0.750

Calculated values
Total DFT energy (no corrections)   -8.8 eV per formula unit
V   100.87 Å³/f.u.
Space-group type   F-43m
Total magnetic moment   0.658 μB per atom

=====

Copy entry 5 word for word.
The following is a DFT calculation (PBE) of a relaxed RbZnAg crystal.

Cell lengths 5.322, 5.322, 5.322 Å; angles 60.00, 60.00, 60.00 degrees
Sites, in units of the cell vectors:
Ag1 0.000 0.000 0.000
Zn1 0.750 0.750 0.750
Rb1 0.250 0.250 0.250

Calculated values
Total DFT energy (no corrections)   -4.2 eV per formula unit
V   106.57 Å³/f.u.
Space-group type   F-43m

=====

Question: Which value of V does entry 4 give?
Answer: 132.43 Å³/f.u.

=====

Question: What is the V in the fourth record?
Answer: 132.43 Å³/f.u.